A crystal of FeTeIr2I relaxed with PBEsol. Source: Alexandria via LeMat-Bulk, functional meta-GGA SCAN.

Cell lengths 4.6812, 4.9134, 4.9134 Å; angles 90.00, 90.00, 90.00 degrees
Last column: nearest neighbours and their distance in Å.
Atoms (fractional coordinates):
I1 0.5000 0.5000 0.5000  8 Ir 3.39, 4 Fe 3.47
Ir1 0.0000 0.5000 0.0000  2 Te 2.46
Ir2 0.0000 0.0000 0.5000  2 Te 2.46
Fe1 0.5000 0.0000 0.0000  2 Te 2.34
Te1 0.0000 0.0000 0.0000  2 Fe 2.34, 4 Ir 2.46

The calculation puts the final energy at -45.2359 eV per atom. Its total moment is 2.74 μB/cell.